# 1
{
  "formula": "K2HfB",
  "functional": "PBE",
  "state": "relaxed",
  "cell": [[12.761, 0.000, 0.000], [0.000, 12.761, 0.000], [0.000, 0.000, 4.487]],
  "species": ["K", "K", "K", "K", "K", "K", "K", "K", "Hf", "Hf", "Hf", "Hf", "B", "B", "B", "B"],
  "fractional_positions": [[0.053, 0.750, 0.125], [0.250, 0.053, 0.875], [0.250, 0.447, 0.375], [0.447, 0.750, 0.625], [0.553, 0.250, 0.625], [0.750, 0.553, 0.375], [0.750, 0.947, 0.875], [0.947, 0.250, 0.125], [0.000, 0.000, 0.500], [0.000, 0.500, 0.750], [0.500, 0.000, 0.250], [0.500, 0.500, 0.000], [0.000, 0.000, 0.000], [0.000, 0.500, 0.250], [0.500, 0.000, 0.750], [0.500, 0.500, 0.500]],
  "space_group": "I-42d",
  "energy_ev_per_atom": -3.669,
  "e_form_mev_per_atom": 1038
}



# 2
{
  "formula": "In2AgMo",
  "functional": "PBE",
  "state": "relaxed",
  "cell": [[6.777, 0.000, 0.000], [0.000, 6.777, 0.000], [0.000, 0.000, 6.777]],
  "species": ["In", "In", "In", "In", "In", "In", "In", "In", "Ag", "Ag", "Ag", "Ag", "Mo", "Mo", "Mo", "Mo"],
  "fractional_positions": [[0.250, 0.250, 0.250], [0.250, 0.250, 0.750], [0.250, 0.750, 0.250], [0.250, 0.750, 0.750], [0.750, 0.250, 0.250], [0.750, 0.250, 0.750], [0.750, 0.750, 0.250], [0.750, 0.750, 0.750], [0.000, 0.000, 0.000], [0.000, 0.500, 0.500], [0.500, 0.000, 0.500], [0.500, 0.500, 0.000], [0.000, 0.000, 0.500], [0.000, 0.500, 0.000], [0.500, 0.000, 0.000], [0.500, 0.500, 0.500]],
  "space_group": "Fm-3m",
  "energy_ev_per_atom": -4.348,
  "e_form_mev_per_atom": 442
}



# 3
{
  "formula": "BeHgRh2",
  "functional": "PBE",
  "state": "relaxed",
  "cell": [[3.919, 0.000, 0.000], [0.000, 3.919, 0.000], [0.000, 0.000, 7.673]],
  "species": ["Be", "Be", "Hg", "Hg", "Rh", "Rh", "Rh", "Rh"],
  "fractional_positions": [[0.000, 0.000, 0.000], [0.500, 0.500, 0.500], [0.000, 0.500, 0.750], [0.500, 0.000, 0.250], [0.000, 0.000, 0.500], [0.000, 0.500, 0.250], [0.500, 0.000, 0.750], [0.500, 0.500, 0.000]],
  "space_group": "I-4m2",
  "energy_ev_per_atom": -4.506,
  "e_form_mev_per_atom": 177
}



# 4
{
  "formula": "Ce4DyGa3",
  "functional": "PBE",
  "state": "relaxed",
  "cell": [[13.849, 0.000, 0.000], [0.000, 4.843, 0.000], [-1.069, 0.000, 5.751]],
  "species": ["Ce", "Ce", "Ce", "Ce", "Ce", "Ce", "Ce", "Ce", "Dy", "Dy", "Ga", "Ga", "Ga", "Ga", "Ga", "Ga"],
  "fractional_positions": [[0.142, 0.000, 0.054], [0.230, 0.500, 0.268], [0.270, 0.000, 0.732], [0.358, 0.500, 0.946], [0.642, 0.500, 0.054], [0.730, 0.000, 0.268], [0.770, 0.500, 0.732], [0.858, 0.000, 0.946], [0.000, 0.000, 0.500], [0.500, 0.500, 0.500], [0.000, 0.500, 0.000], [0.131, 0.500, 0.707], [0.369, 0.000, 0.293], [0.500, 0.000, 0.000], [0.631, 0.000, 0.707], [0.869, 0.500, 0.293]],
  "space_group": "C2/m",
  "energy_ev_per_atom": -4.981,
  "e_form_mev_per_atom": -304
}



Looking at calculated volume for the records above, in order, we have 730.7, 311.3, 117.8, 385.7 Å³ per cell.